Below is a relaxed structure of TbSm5Er2Sc, with properties calculated at the GGA-PBE level.

Values from the calculation:
Crystal system ... orthorhombic
D(E_F) ... 29.19 states/eV per cell
Formation enthalpy at 0 K ... 0.1610 eV per atom
SG ... No. 36
Total moment ... 0.000 μB/atom
Uncorrected energy ... -4.6927 eV per atom

```
18
Lattice="5.551 0.000 0.000 -2.775 10.144 0.000 0.000 0.000 10.409" Properties=species:S:1:pos:R:3 pbc="T T T"
Sm 0.000 0.310 0.133
Sm 2.775 4.082 2.163
Sm 2.775 4.561 8.542
Sm 0.000 5.584 3.337
Sm 2.775 2.540 5.403
Sm 0.000 9.853 7.741
Sm 0.000 6.062 7.368
Sm 2.775 0.291 2.536
Sm 2.775 9.834 5.337
Sm 0.000 7.604 0.199
Sc 2.775 6.188 5.358
Sc 0.000 3.956 0.154
Er 0.000 2.278 3.172
Er 2.775 7.801 2.487
Er 2.775 7.866 8.377
Er 0.000 2.343 7.692
Tb 0.000 8.224 4.806
Tb 2.775 1.920 10.011
```